(1)
# ReIrN2F | Alexandria via LeMat-Bulk | GGA-PBE | relaxed
data_ReIrN2F
_cell_length_a 3.923
_cell_length_b 3.923
_cell_length_c 3.968
_cell_angle_alpha 90.00
_cell_angle_beta 90.00
_cell_angle_gamma 90.00
_symmetry_space_group_name_H-M 'P 4/m m m'
_symmetry_Int_Tables_number 123
_symmetry_space_group_name_Hall '-P 4 2'
loop_
_atom_site_label
_atom_site_fract_x
_atom_site_fract_y
_atom_site_fract_z
Re1 0.000 0.000 0.000
Ir1 0.500 0.500 0.500
N1 0.000 0.500 0.000
F1 0.000 0.000 0.500
# Energy relative to the lowest polymorph listed for this composition, eV/atom: 0.0000
# Uncorrected energy, eV for the cell shown: -35.2
# Raw formation energy, meV per atom: 931.2
# Spin magnetization, μB per formula unit: 0.9
# Mass density, g cm⁻³: 11.57

(2)
# ReIrN2F | Alexandria via LeMat-Bulk | GGA-PBE | relaxed
data_ReIrN2F
_cell_length_a 3.911
_cell_length_b 3.911
_cell_length_c 4.180
_cell_angle_alpha 90.00
_cell_angle_beta 90.00
_cell_angle_gamma 90.00
_symmetry_space_group_name_H-M 'P 4/m m m'
_symmetry_Int_Tables_number 123
_symmetry_space_group_name_Hall '-P 4 2'
loop_
_atom_site_label
_atom_site_fract_x
_atom_site_fract_y
_atom_site_fract_z
Re1 0.000 0.000 0.000
Ir1 0.500 0.500 0.500
N1 0.000 0.500 0.500
F1 0.500 0.500 0.000
# Energy relative to the lowest polymorph listed for this composition, eV/atom: 0.5476
# Uncorrected energy, eV for the cell shown: -32.4
# Raw formation energy, meV per atom: 1478.8
# Spin magnetization, μB per formula unit: 3.3
# Mass density, g cm⁻³: 11.05

(3)
# IrRhNF2 | Alexandria via LeMat-Bulk | GGA-PBE | relaxed
data_IrRhNF2
_cell_length_a 4.386
_cell_length_b 4.386
_cell_length_c 3.690
_cell_angle_alpha 90.00
_cell_angle_beta 90.00
_cell_angle_gamma 90.00
_symmetry_space_group_name_H-M 'P 4/m m m'
_symmetry_Int_Tables_number 123
_symmetry_space_group_name_Hall '-P 4 2'
loop_
_atom_site_label
_atom_site_fract_x
_atom_site_fract_y
_atom_site_fract_z
Ir1 0.000 0.000 0.000
Rh1 0.500 0.500 0.500
N1 0.000 0.000 0.500
F1 0.000 0.500 0.000
# Energy relative to the lowest polymorph listed for this composition, eV/atom: 0.0000
# Uncorrected energy, eV for the cell shown: -26.6
# Raw formation energy, meV per atom: 328.3
# Spin magnetization, μB per formula unit: 1.8
# Mass density, g cm⁻³: 8.12